NiAsRh: relaxed, GGA-PBEsol.

a = 5.546 Å, b = 5.546 Å, c = 5.546 Å
α = 90.00°, β = 90.00°, γ = 90.00°
Fractional positions:
Ni 0.000 0.000 0.000
Ni 0.000 0.500 0.500
Ni 0.500 0.000 0.500
Ni 0.500 0.500 0.000
As 0.250 0.250 0.250
As 0.250 0.750 0.750
As 0.750 0.250 0.750
As 0.750 0.750 0.250
Rh 0.000 0.000 0.500
Rh 0.000 0.500 0.000
Rh 0.500 0.000 0.000
Rh 0.500 0.500 0.500

***

Zr2ReIr: relaxed, GGA-PBEsol.

a = 3.378 Å, b = 4.423 Å, c = 9.296 Å
α = 90.00°, β = 90.00°, γ = 90.00°
Fractional positions:
Zr 0.000 0.000 0.000
Zr 0.000 0.500 0.239
Zr 0.500 0.000 0.739
Zr 0.500 0.500 0.500
Re 0.000 0.000 0.495
Re 0.500 0.500 0.995
Ir 0.000 0.500 0.747
Ir 0.500 0.000 0.247

***

LiRh2: relaxed, GGA-PBEsol.

a = 4.117 Å, b = 4.117 Å, c = 2.614 Å
α = 90.00°, β = 90.00°, γ = 120.00°
Fractional positions:
Li 0.000 0.000 0.000
Rh 0.333 0.667 0.280
Rh 0.667 0.333 0.720

***

Number 1: DFT formation energy -93 kJ/mol of formula units, size of the total moment 0.00 Bohr magnetons per cell. Number 2: DFT formation energy -135 kJ/mol of formula units, size of the total moment 0.00 Bohr magnetons per cell. Number 3: DFT formation energy 20 kJ/mol of formula units, size of the total moment 0.76 Bohr magnetons per cell.